Entry 1:
A geometry-optimized Gd7Ti8O26 structure, computed with PBE.

## Properties
The space group is P1, No. 1. The total energy comes out at -10.30 eV/atom. The calculation puts the uncorrected formation energy at -3.210 eV per atom. The calculation puts the volume at 13.3 Å³/atom.

The structure in POSCAR format:
```
Gd7Ti8O26
1.0
-5.994 3.700 1.567
-12.195 -7.333 2.826
-8.622 -3.756 8.155
Gd Ti O
7 8 26
direct
0.993 0.252 0.992 Gd
0.981 0.532 0.980 Gd
0.484 0.996 0.982 Gd
0.009 0.746 0.025 Gd
0.488 0.484 0.034 Gd
0.995 0.232 0.513 Gd
0.983 0.764 0.486 Gd
0.019 0.995 0.488 Ti
0.500 0.292 0.959 Ti
0.975 0.531 0.493 Ti
0.512 0.748 0.997 Ti
0.551 0.240 0.487 Ti
0.510 0.500 0.502 Ti
0.485 0.711 0.541 Ti
0.490 0.991 0.503 Ti
0.205 0.173 0.185 O
0.112 0.505 0.133 O
0.573 0.207 0.172 O
0.385 0.218 0.431 O
0.198 0.652 0.215 O
0.595 0.496 0.169 O
0.167 0.507 0.579 O
0.125 0.005 0.128 O
0.553 0.304 0.570 O
0.580 0.693 0.180 O
0.851 0.208 0.405 O
0.437 0.721 0.397 O
0.169 0.793 0.576 O
0.438 0.286 0.833 O
0.833 0.485 0.440 O
0.384 0.500 0.858 O
0.174 0.001 0.575 O
0.818 0.313 0.818 O
0.813 0.715 0.416 O
0.569 0.819 0.548 O
0.422 0.792 0.831 O
0.866 0.503 0.875 O
0.815 0.003 0.427 O
0.457 0.998 0.806 O
0.831 0.798 0.823 O
0.855 0.001 0.875 O
```

Entry 2:
A geometry-optimized CaLa2Cu structure, computed with PBE.

## Properties
As for the relative energy among the computed polymorphs: 270 meV/atom. Its energy of formation is 0.24 eV/atom. The space group is C2/m, No. 12. The total energy comes out at -3.75 eV/atom. The calculation puts the volume at 30.2 Å³/atom.

The structure in POSCAR format:
```
CaLa2Cu
1.0
-4.461 -4.170 -2.406
5.704 -2.201 2.386
-1.046 -1.797 2.957
Ca Cu La
1 1 2
direct
0.500 0.000 0.500 Ca
0.000 0.500 0.500 Cu
0.000 0.000 0.000 La
0.500 0.500 0.000 La
```

Entry 3:
A geometry-optimized ZrBeCl structure, computed with PBE.

## Properties
As for the relative energy among the computed polymorphs: 720 meV/atom. The space group is F-43m, No. 216. The total energy comes out at -4.23 eV/atom. The calculation puts the uncorrected formation energy at 0.482 eV per atom. The calculation puts the volume at 19.6 Å³/atom.

The structure in POSCAR format:
```
ZrBeCl
1.0
4.364 0.000 0.000
2.182 3.779 0.000
2.182 1.260 3.563
Be Zr Cl
1 1 1
direct
0.000 0.000 0.000 Be
0.750 0.750 0.750 Zr
0.500 0.500 0.500 Cl
```

Entry 4:
A geometry-optimized CaU3Tl3Te8 structure, computed with PBE.

## Properties
The space group is R-3m, No. 166. The total energy comes out at -5.22 eV/atom. The calculation puts the uncorrected formation energy at -0.680 eV per atom. The calculation puts the volume at 37.4 Å³/atom.

The structure in POSCAR format:
```
CaU3Tl3Te8
1.0
-2.041 2.760 8.194
-6.360 -0.699 -6.164
3.570 -8.217 3.657
Ca U Tl Te
1 3 3 8
direct
0.000 0.000 0.500 Ca
0.500 0.000 0.500 U
0.500 0.500 0.500 U
0.000 0.500 0.500 U
0.000 0.000 0.000 Tl
0.000 0.500 0.000 Tl
0.500 0.500 0.000 Tl
0.261 0.523 0.285 Te
0.739 0.477 0.715 Te
0.755 0.510 0.285 Te
0.245 0.490 0.715 Te
0.755 0.030 0.285 Te
0.245 0.970 0.715 Te
0.275 0.030 0.285 Te
0.725 0.970 0.715 Te
```

Entry 5:
A geometry-optimized Tb3PmTm4 structure, computed with PBE.

## Properties
As for the relative energy among the computed polymorphs: 0 meV/atom. Its energy of formation is 0.01 eV/atom. The space group is Pmn2_1, No. 31. The total energy comes out at -4.56 eV/atom. The calculation puts the volume at 31.7 Å³/atom.

The structure in POSCAR format:
```
Tb3PmTm4
1.0
6.249 0.000 0.000
0.000 7.233 0.000
0.000 0.000 11.220
Tb Pm Tm
6 2 8
direct
0.647 0.627 0.000 Tb
0.982 0.628 0.250 Tb
0.482 0.372 0.250 Tb
0.147 0.373 0.500 Tb
0.482 0.372 0.750 Tb
0.982 0.628 0.750 Tb
0.147 0.373 0.000 Pm
0.647 0.627 0.500 Pm
0.148 0.878 0.000 Tm
0.648 0.122 0.000 Tm
0.981 0.122 0.251 Tm
0.481 0.878 0.249 Tm
0.148 0.878 0.500 Tm
0.648 0.122 0.500 Tm
0.481 0.878 0.751 Tm
0.981 0.122 0.749 Tm
```

Entry 6:
A geometry-optimized Tb2Si3NiIr4 structure, computed with PBE.

## Properties
The space group is P-4m2, No. 115. The total energy comes out at -7.61 eV/atom. The calculation puts the uncorrected formation energy at -0.936 eV per atom. The calculation puts the volume at 16.8 Å³/atom.

The structure in POSCAR format:
```
Tb2Si3NiIr4
1.0
4.097 0.000 0.000
0.000 4.097 0.000
0.000 0.000 10.004
Tb Si Ni Ir
2 3 1 4
direct
0.500 0.000 0.254 Tb
0.000 0.500 0.746 Tb
0.000 0.000 0.500 Si
0.500 0.000 0.870 Si
0.000 0.500 0.130 Si
0.500 0.500 0.500 Ni
0.500 0.500 0.000 Ir
0.000 0.000 0.000 Ir
0.500 0.000 0.634 Ir
0.000 0.500 0.366 Ir
```